(1)
VASP calculation (PBE) on a relaxed structure of LiAlSe.

```
LiAlSe
1.0
3.659 0.000 0.000
-1.829 3.169 0.000
0.000 0.000 5.489
Li Al Se
1 1 1
direct
0.000 0.000 0.000 Li
0.333 0.667 0.578 Al
0.667 0.333 0.311 Se
```

Properties
density of states at the Fermi level = 0.04 states/eV/cell
space group = No. 156
excess energy over the best structure of this formula in the dataset = 0.00 eV per formula unit
formation energy (no corrections) = -1.68 eV per formula unit

=====

(2)
VASP calculation (PBE) on a relaxed structure of LiAlSiSe4.

```
LiAlSiSe4
1.0
-3.013 3.013 4.925
3.013 -3.013 4.925
3.013 3.013 -4.925
Li Al Si Se
1 1 1 4
direct
0.000 0.000 0.000 Li
0.500 0.500 0.000 Al
0.750 0.250 0.500 Si
0.113 0.588 0.969 Se
0.412 0.381 0.524 Se
0.619 0.144 0.031 Se
0.856 0.887 0.476 Se
```

Properties
density of states at the Fermi level = 0.00 states/eV/cell
space group = No. 82
formation energy (no corrections) = -5.61 eV per formula unit

=====

(3)
VASP calculation (PBE) on a relaxed structure of Li2AlSiSe4.

```
Li2AlSiSe4
1.0
-2.960 2.960 5.542
2.960 -2.960 5.542
2.960 2.960 -5.542
Li Al Si Se
2 1 1 4
direct
0.000 0.000 0.000 Li
0.750 0.250 0.500 Li
0.500 0.500 0.000 Al
0.250 0.750 0.500 Si
0.143 0.132 0.524 Se
0.381 0.857 0.989 Se
0.608 0.619 0.476 Se
0.868 0.392 0.011 Se
```

Properties
density of states at the Fermi level = 4.60 states/eV/cell
space group = No. 82
formation energy (no corrections) = -6.12 eV per formula unit

=====

(4)
VASP calculation (PBE) on a relaxed structure of LiSm2AlSe5.

```
LiSm2AlSe5
1.0
1.999 -8.874 0.000
1.999 8.874 0.000
0.000 0.000 11.806
Li Sm Al Se
2 4 2 10
direct
0.214 0.786 0.500 Li
0.786 0.214 0.000 Li
0.121 0.879 0.163 Sm
0.131 0.869 0.785 Sm
0.869 0.131 0.285 Sm
0.879 0.121 0.663 Sm
0.427 0.573 0.938 Al
0.573 0.427 0.438 Al
0.044 0.956 0.547 Se
0.293 0.707 0.148 Se
0.312 0.688 0.831 Se
0.358 0.642 0.480 Se
0.498 0.502 0.763 Se
0.502 0.498 0.263 Se
0.642 0.358 0.980 Se
0.688 0.312 0.331 Se
0.707 0.293 0.648 Se
0.956 0.044 0.047 Se
```

Properties
space group = No. 36
formation energy (no corrections) = -13.46 eV per formula unit

=====

(5)
VASP calculation (PBE) on a relaxed structure of LiAlSnSe4.

```
LiAlSnSe4
1.0
-3.818 3.974 5.482
3.818 -3.974 5.482
3.818 3.974 -5.482
Li Al Sn Se
2 2 2 8
direct
0.389 0.139 0.250 Li
0.611 0.861 0.750 Li
0.000 0.000 0.500 Al
0.000 0.500 0.000 Al
0.000 0.500 0.500 Sn
0.500 0.500 0.000 Sn
0.220 0.747 0.472 Se
0.225 0.253 0.972 Se
0.238 0.240 0.503 Se
0.238 0.735 0.997 Se
0.762 0.265 0.003 Se
0.762 0.760 0.497 Se
0.775 0.747 0.028 Se
0.780 0.253 0.528 Se
```

Properties
density of states at the Fermi level = 1.39 states/eV/cell
space group = No. 74
formation energy (no corrections) = -5.16 eV per formula unit

=====

(6)
VASP calculation (PBE) on a relaxed structure of Li2TbAlSe4.

```
Li2TbAlSe4
1.0
-3.831 4.033 5.550
3.831 -4.033 5.550
3.831 4.033 -5.550
Li Tb Al Se
4 2 2 8
direct
0.000 0.000 0.000 Li
0.500 0.000 0.000 Li
0.500 0.000 0.500 Li
0.500 0.500 0.500 Li
0.000 0.500 0.500 Tb
0.500 0.500 0.000 Tb
0.000 0.000 0.500 Al
0.000 0.500 0.000 Al
0.214 0.243 0.971 Se
0.228 0.757 0.471 Se
0.245 0.234 0.490 Se
0.245 0.755 0.010 Se
0.755 0.245 0.990 Se
0.755 0.766 0.510 Se
0.772 0.243 0.529 Se
0.786 0.757 0.029 Se
```

Properties
space group = No. 74
formation energy (no corrections) = -10.42 eV per formula unit

=====

(7)
VASP calculation (PBE) on a relaxed structure of LiTb2AlSe5.

```
LiTb2AlSe5
1.0
1.975 -8.795 0.000
1.975 8.795 0.000
0.000 0.000 11.713
Li Tb Al Se
2 4 2 10
direct
0.213 0.787 0.500 Li
0.787 0.213 0.000 Li
0.121 0.879 0.162 Tb
0.131 0.869 0.785 Tb
0.869 0.131 0.285 Tb
0.879 0.121 0.662 Tb
0.427 0.573 0.939 Al
0.573 0.427 0.439 Al
0.044 0.956 0.550 Se
0.293 0.707 0.150 Se
0.312 0.688 0.829 Se
0.358 0.642 0.481 Se
0.498 0.502 0.765 Se
0.502 0.498 0.265 Se
0.642 0.358 0.981 Se
0.688 0.312 0.329 Se
0.707 0.293 0.650 Se
0.956 0.044 0.050 Se
```

Properties
space group = No. 36
formation energy (no corrections) = -13.25 eV per formula unit

=====

(8)
VASP calculation (PBE) on a relaxed structure of Li2AlTeSe.

```
Li2AlTeSe
1.0
5.245 0.000 0.000
0.000 5.245 0.000
0.000 0.000 5.082
Li Al Te Se
2 1 1 1
direct
0.000 0.500 0.000 Li
0.500 0.000 0.000 Li
0.000 0.000 0.000 Al
0.000 0.000 0.500 Te
0.500 0.500 0.500 Se
```

Properties
density of states at the Fermi level = 3.65 states/eV/cell
space group = No. 123
formation energy (no corrections) = 1.27 eV per formula unit

=====

(9)
VASP calculation (PBE) on a relaxed structure of Li2AlTeSe4.

```
Li2AlTeSe4
1.0
5.096 0.000 0.000
-0.254 6.263 0.000
-1.724 -2.103 6.200
Li Al Te Se
2 1 1 4
direct
0.000 0.000 0.000 Li
0.158 0.712 0.535 Li
0.669 0.212 0.532 Al
0.606 0.487 0.054 Te
0.322 0.360 0.298 Se
0.527 0.052 0.776 Se
0.867 0.926 0.316 Se
0.970 0.544 0.791 Se
```

Properties
density of states at the Fermi level = 1.69 states/eV/cell
space group = No. 1
formation energy (no corrections) = -5.38 eV per formula unit

=====

(10)
VASP calculation (PBE) on a relaxed structure of LiAl2TeSe6.

```
LiAl2TeSe6
1.0
6.352 -5.891 0.000
6.352 5.891 0.000
-1.713 0.000 6.794
Li Al Te Se
2 4 2 12
direct
0.097 0.903 0.750 Li
0.903 0.097 0.250 Li
0.214 0.403 0.751 Al
0.403 0.214 0.251 Al
0.597 0.786 0.749 Al
0.786 0.597 0.249 Al
0.243 0.757 0.250 Te
0.757 0.243 0.750 Te
0.028 0.194 0.628 Se
0.077 0.637 0.875 Se
0.194 0.028 0.128 Se
0.304 0.443 0.453 Se
0.363 0.923 0.625 Se
0.443 0.304 0.953 Se
0.557 0.696 0.047 Se
0.637 0.077 0.375 Se
0.696 0.557 0.547 Se
0.806 0.972 0.872 Se
0.923 0.363 0.125 Se
0.972 0.806 0.372 Se
```

Properties
density of states at the Fermi level = 15.14 states/eV/cell
space group = No. 15
formation energy (no corrections) = -5.08 eV per formula unit

=====

(11)
VASP calculation (PBE) on a relaxed structure of Li3Tm3AlSe8.

```
Li3Tm3AlSe8
1.0
3.958 2.285 6.450
-3.958 2.285 6.450
0.000 -4.571 6.450
Li Tm Al Se
3 3 1 8
direct
0.000 0.500 0.500 Li
0.500 0.000 0.500 Li
0.500 0.500 0.000 Li
0.000 0.000 0.500 Tm
0.000 0.500 0.000 Tm
0.500 0.000 0.000 Tm
0.500 0.500 0.500 Al
0.251 0.251 0.251 Se
0.265 0.265 0.731 Se
0.265 0.731 0.265 Se
0.269 0.735 0.735 Se
0.731 0.265 0.265 Se
0.735 0.269 0.735 Se
0.735 0.735 0.269 Se
0.749 0.749 0.749 Se
```

Properties
density of states at the Fermi level = 7.05 states/eV/cell
space group = No. 166
formation energy (no corrections) = -21.39 eV per formula unit

=====

(12)
VASP calculation (PBE) on a relaxed structure of Li2AlVSe.

```
Li2AlVSe
1.0
4.741 0.000 0.000
0.000 4.741 0.000
0.000 0.000 5.004
Li Al V Se
2 1 1 1
direct
0.000 0.500 0.000 Li
0.500 0.000 0.000 Li
0.000 0.000 0.000 Al
0.500 0.500 0.500 V
0.000 0.000 0.500 Se
```

Properties
density of states at the Fermi level = 4.53 states/eV/cell
space group = No. 123
formation energy (no corrections) = 3.29 eV per formula unit

=====

- Which of these has the highest formation energy (no corrections)?
  Li2AlVSe